! PBE-GGA Th2ZrAu, relaxed; values from VASP
&SYSTEM
  ibrav = 0, nat = 4, ntyp = 3
/
ATOMIC_SPECIES
Au 196.97 Au.upf
Zr 91.22 Zr.upf
Th 232.04 Th.upf
ATOMIC_POSITIONS crystal
Au 0.5000 0.5000 0.5000
Zr 0.0000 0.0000 0.0000
Th 0.0918 0.0918 0.7246
Th 0.9082 0.9082 0.2754
CELL_PARAMETERS angstrom
-2.7791 0.9413 -1.6405
-0.1395 -0.2468 -3.3497
-5.0576 -10.1928 -0.7250
! Polymorph energy (0 for the lowest one) (kJ/mol of atoms): 34.46
! Uncorrected energy (eV/atom): -6.504
! DFT formation energy (meV per atom): 162
! Calculated volume (Å³/cell): 109.96
! Total magnetization (μB per formula unit): 0.6
! Crystal system: trigonal

=====

! PBE-GGA Th2ZrAu, relaxed; values from VASP
&SYSTEM
  ibrav = 0, nat = 4, ntyp = 3
/
ATOMIC_SPECIES
Au 196.97 Au.upf
Zr 91.22 Zr.upf
Th 232.04 Th.upf
ATOMIC_POSITIONS crystal
Au 0.5000 0.5000 0.0000
Zr 0.5000 0.5000 0.5000
Th 0.0000 0.0000 0.7658
Th 0.0000 0.0000 0.2342
CELL_PARAMETERS angstrom
-0.8390 2.1950 -2.5841
-2.9515 0.8374 1.6696
4.2780 6.6260 4.2394
! Polymorph energy (0 for the lowest one) (kJ/mol of atoms): 0.00
! Uncorrected energy (eV/atom): -6.861
! DFT formation energy (meV per atom): -195
! Calculated volume (Å³/cell): 109.24
! Total magnetization (μB per formula unit): 0.0
! Crystal system: tetragonal